Record 1
## Cs3K2HgF9 (GGA-PBE)

Data for a relaxed structure of Cs3K2HgF9.

abc: 6.8649 6.8649 8.4065
angles: 90.00 90.00 120.00
With the nearest neighbours (Å) after each atom.
Atoms (fractional coordinates):
Cs (0.6667, 0.3333, 0.2790)  3 F 3.07
Cs (0.0000, 0.0000, 0.0000)  12 F 3.41-3.43
Cs (0.3333, 0.6667, 0.7210)  3 F 3.07
K (0.3333, 0.6667, 0.1881)  6 F 2.54-2.60
K (0.6667, 0.3333, 0.8119)  6 F 2.54-2.60
Hg (0.0000, 0.0000, 0.5000)  6 F 2.16
F (0.1468, 0.2936, 0.3491)  1 Hg 2.16
F (0.5000, 0.5000, 0.0000)  2 K 2.54
F (0.7064, 0.8532, 0.3491)  1 Hg 2.16
F (0.8532, 0.1468, 0.6509)  1 Hg 2.16
F (0.2936, 0.1468, 0.6509)  1 Hg 2.16
F (0.8532, 0.7064, 0.6509)  1 Hg 2.16
F (0.5000, 0.0000, 0.0000)  2 K 2.54
F (0.0000, 0.5000, 0.0000)  2 K 2.54
F (0.1468, 0.8532, 0.3491)  1 Hg 2.16

Properties
ΔE_f (raw): -2.177 eV per atom
Calculated density: 4.107 Mg/m³

---

Record 2
## CdPtF3 (GGA-PBE)

Data for a relaxed structure of CdPtF3.

abc: 4.3405 4.3405 4.3405
angles: 90.00 90.00 90.00
With the nearest neighbours (Å) after each atom.
Atoms (fractional coordinates):
Pt (0.0000, 0.0000, 0.0000)  6 F 2.17
F (0.0000, 0.0000, 0.5000)  2 Pt 2.17
F (0.0000, 0.5000, 0.0000)  2 Pt 2.17
F (0.5000, 0.0000, 0.0000)  2 Pt 2.17
Cd (0.5000, 0.5000, 0.5000)  12 F 3.07

Properties
ΔE_f (raw): -0.833 eV per atom
Energy above the most stable polymorph in this dataset: 0.000 eV per atom
Calculated density: 7.401 Mg/m³

---

Record 3
## BaSrCa2Cd (GGA-PBE)

Data for a relaxed structure of BaSrCa2Cd.

abc: 6.1800 6.1800 6.4718
angles: 90.00 90.00 90.00
With the nearest neighbours (Å) after each atom.
Atoms (fractional coordinates):
Ca (0.0000, 0.5000, 0.0000)  2 Cd 3.09
Ca (0.5000, 0.0000, 0.0000)  2 Cd 3.09
Ba (0.0000, 0.0000, 0.5000)  2 Cd 3.24
Cd (0.0000, 0.0000, 0.0000)  4 Ca 3.09, 2 Ba 3.24
Sr (0.5000, 0.5000, 0.5000)  4 Ba 4.37, 8 Ca 4.47

Properties
Energy above the most stable polymorph in this dataset: 0.035 eV per atom
Calculated density: 2.805 Mg/m³
Energy of formation from the pure elements: 0.39 kJ per mole of atoms

---

Record 4
## ErTlCuAu (GGA-PBE)

Data for a relaxed structure of ErTlCuAu.

abc: 4.8651 4.8651 4.8651
angles: 60.00 60.00 60.00
With the nearest neighbours (Å) after each atom.
Atoms (fractional coordinates):
Au (0.7500, 0.7500, 0.7500)  4 Tl 2.98, 4 Er 2.98
Er (0.0000, 0.0000, 0.0000)  4 Cu 2.98, 4 Au 2.98
Cu (0.2500, 0.2500, 0.2500)  4 Er 2.98, 4 Tl 2.98
Tl (0.5000, 0.5000, 0.5000)  4 Cu 2.98, 4 Au 2.98

Properties
Calculated density: 12.892 Mg/m³
Energy of formation from the pure elements: -32.29 kJ per mole of atoms

---

Record 5
## ZrV2Tc (GGA-PBE)

Data for a relaxed structure of ZrV2Tc.

abc: 4.4483 4.4483 4.4483
angles: 60.00 60.00 60.00
With the nearest neighbours (Å) after each atom.
Atoms (fractional coordinates):
Zr (0.0000, 0.0000, 0.0000)  8 V 2.72
Tc (0.5000, 0.5000, 0.5000)  8 V 2.72
V (0.7500, 0.7500, 0.7500)  4 Zr 2.72, 4 Tc 2.72
V (0.2500, 0.2500, 0.2500)  4 Zr 2.72, 4 Tc 2.72

Properties
Energy above the most stable polymorph in this dataset: 0.071 eV per atom
Calculated density: 7.766 Mg/m³
Energy of formation from the pure elements: -2.91 kJ per mole of atoms

---

Record 6
## Dy3CoI3 (GGA-PBE)

Data for a relaxed structure of Dy3CoI3.

abc: 4.1168 8.8839 12.2544
angles: 93.59 90.00 90.00
With the nearest neighbours (Å) after each atom.
Atoms (fractional coordinates):
Dy (0.7500, 0.0963, 0.8120)  1 Co 2.70
Dy (0.7500, 0.7451, 0.3995)  2 Co 2.72
Dy (0.2500, 0.2549, 0.6005)  2 Co 2.72
Dy (0.2500, 0.9037, 0.1880)  1 Co 2.70
Dy (0.7500, 0.1299, 0.3766)  3 Co 2.67-2.76
Dy (0.2500, 0.8701, 0.6234)  3 Co 2.67-2.76
I (0.7500, 0.6457, 0.1395)  3 Dy 3.11-3.25
I (0.7500, 0.5795, 0.6328)  5 Dy 3.30-3.55
I (0.2500, 0.8554, 0.8907)  3 Dy 3.16-3.29
I (0.2500, 0.4205, 0.3672)  5 Dy 3.30-3.55
I (0.7500, 0.1446, 0.1093)  3 Dy 3.16-3.29
I (0.2500, 0.3543, 0.8605)  3 Dy 3.11-3.25
Co (0.2500, 0.9460, 0.4084)  6 Dy 2.67-2.76
Co (0.7500, 0.0540, 0.5916)  6 Dy 2.67-2.76

Properties
ΔE_f (raw): -0.923 eV per atom
Calculated density: 6.884 Mg/m³